Entry 1:
# SmHoTl2 | the Alexandria database | PBE | optimized geometry
data_SmHoTl2
_chemical_formula_sum 'Sm3 Ho3 Tl6'
_cell_length_a 3.7819
_cell_length_b 3.7819
_cell_length_c 29.0275
_cell_angle_alpha 90.00
_cell_angle_beta 90.00
_cell_angle_gamma 120.00
_symmetry_space_group_name_H-M 'R -3 m'
_symmetry_Int_Tables_number 166
_symmetry_space_group_name_Hall '-R 3 2"'
loop_
_atom_site_label
_atom_site_type_symbol
_atom_site_fract_x
_atom_site_fract_y
_atom_site_fract_z
_atom_site_occupancy
Sm1 Sm 0.0000 0.0000 0.0000 1
Ho1 Ho 0.0000 0.0000 0.5000 1
Tl1 Tl 0.0000 0.0000 0.2483 1
# E_form ... -0.259 eV per atom
# Energy relative to the lowest polymorph listed for this composition ... 0.099 eV/atom
# Crystal system ... trigonal

---

Entry 2:
# NaSrCo3 | the Alexandria database | PBE | optimized geometry
data_NaSrCo3
_chemical_formula_sum 'Na1 Sr1 Co3'
_cell_length_a 5.115
_cell_length_b 5.115
_cell_length_c 5.115
_cell_angle_alpha 90.00
_cell_angle_beta 90.00
_cell_angle_gamma 90.00
_symmetry_space_group_name_H-M 'P m -3 m'
_symmetry_Int_Tables_number 221
_symmetry_space_group_name_Hall '-P 4 2 3'
loop_
_atom_site_label
_atom_site_type_symbol
_atom_site_fract_x
_atom_site_fract_y
_atom_site_fract_z
_atom_site_occupancy
Na1 Na 0.000 0.000 0.000 1
Sr1 Sr 0.500 0.500 0.500 1
Co1 Co 0.000 0.500 0.500 1
# E_form ... 1.947 eV per atom
# Energy relative to the lowest polymorph listed for this composition ... 0.465 eV/atom
# Crystal system ... cubic

---

Entry 3:
# PAuO3 | the Alexandria database | PBE | optimized geometry
data_PAuO3
_chemical_formula_sum 'P4 Au4 O12'
_cell_length_a 5.335
_cell_length_b 9.839
_cell_length_c 8.712
_cell_angle_alpha 90.00
_cell_angle_beta 98.44
_cell_angle_gamma 90.00
_symmetry_space_group_name_H-M 'P 1 2/c 1'
_symmetry_Int_Tables_number 13
_symmetry_space_group_name_Hall '-P 2yc'
loop_
_atom_site_label
_atom_site_type_symbol
_atom_site_fract_x
_atom_site_fract_y
_atom_site_fract_z
_atom_site_occupancy
P1 P 0.033 0.082 0.111 1
Au1 Au 0.060 0.404 0.100 1
O1 O 0.162 0.214 0.049 1
O2 O 0.167 0.054 0.567 1
O3 O 0.206 0.090 0.298 1
# ΔE_f (raw) ... -1.065 eV per atom
# Crystal system ... monoclinic

---

Entry 4:
# Pu2TlHgO8 | the Alexandria database | PBE | optimized geometry
data_Pu2TlHgO8
_chemical_formula_sum 'Pu2 Tl1 Hg1 O8'
_cell_length_a 6.0988
_cell_length_b 6.0988
_cell_length_c 6.6760
_cell_angle_alpha 90.00
_cell_angle_beta 90.00
_cell_angle_gamma 120.00
_symmetry_space_group_name_H-M 'P -3'
_symmetry_Int_Tables_number 147
_symmetry_space_group_name_Hall '-P 3'
loop_
_atom_site_label
_atom_site_type_symbol
_atom_site_fract_x
_atom_site_fract_y
_atom_site_fract_z
_atom_site_occupancy
Pu1 Pu 0.3333 0.6667 0.4406 1
Tl1 Tl 0.0000 0.0000 0.0000 1
Hg1 Hg 0.0000 0.0000 0.5000 1
O1 O 0.0629 0.3860 0.6323 1
O2 O 0.3333 0.6667 0.1627 1
# ΔE_f (raw) ... -1.539 eV per atom
# Crystal system ... trigonal

---

Entry 5:
# Mg2GeH6 | the Alexandria database | PBE | optimized geometry
data_Mg2GeH6
_chemical_formula_sum 'Mg8 Ge4 H24'
_cell_length_a 7.012
_cell_length_b 7.012
_cell_length_c 7.012
_cell_angle_alpha 90.00
_cell_angle_beta 90.00
_cell_angle_gamma 90.00
_symmetry_space_group_name_H-M 'F m -3 m'
_symmetry_Int_Tables_number 225
_symmetry_space_group_name_Hall '-F 4 2 3'
loop_
_atom_site_label
_atom_site_type_symbol
_atom_site_fract_x
_atom_site_fract_y
_atom_site_fract_z
_atom_site_occupancy
Mg1 Mg 0.250 0.250 0.250 1
Ge1 Ge 0.000 0.000 0.000 1
H1 H 0.000 0.000 0.253 1
# Crystal system ... cubic

---

Entry 6:
# Mo2As | the Alexandria database | PBE | optimized geometry
data_Mo2As
_chemical_formula_sum 'Mo4 As2'
_cell_length_a 4.3627
_cell_length_b 4.3627
_cell_length_c 6.2611
_cell_angle_alpha 90.00
_cell_angle_beta 90.00
_cell_angle_gamma 120.00
_symmetry_space_group_name_H-M 'P 63/m m c'
_symmetry_Int_Tables_number 194
_symmetry_space_group_name_Hall '-P 6c 2c'
loop_
_atom_site_label
_atom_site_type_symbol
_atom_site_fract_x
_atom_site_fract_y
_atom_site_fract_z
_atom_site_occupancy
Mo1 Mo 0.3333 0.6667 0.0487 1
As1 As 0.0000 0.0000 0.2500 1
# E_form ... 0.516 eV per atom
# Energy relative to the lowest polymorph listed for this composition ... 0.550 eV/atom
# Crystal system ... hexagonal

---

Entry 7:
# La2Er6Tm5 | the Alexandria database | PBE | optimized geometry
data_La2Er6Tm5
_chemical_formula_sum 'La4 Er12 Tm10'
_cell_length_a 11.654
_cell_length_b 20.051
_cell_length_c 3.560
_cell_angle_alpha 90.00
_cell_angle_beta 90.00
_cell_angle_gamma 90.00
_symmetry_space_group_name_H-M 'P b a m'
_symmetry_Int_Tables_number 55
_symmetry_space_group_name_Hall '-P 2 2ab'
loop_
_atom_site_label
_atom_site_type_symbol
_atom_site_fract_x
_atom_site_fract_y
_atom_site_fract_z
_atom_site_occupancy
La1 La 0.165 0.220 0.000 1
Er1 Er 0.059 0.924 0.000 1
Er2 Er 0.078 0.637 0.000 1
Er3 Er 0.180 0.379 0.500 1
Tm1 Tm 0.000 0.500 0.500 1
Tm2 Tm 0.097 0.781 0.500 1
Tm3 Tm 0.200 0.052 0.500 1
# E_form ... 0.106 eV per atom
# Crystal system ... orthorhombic

---

Entry 8:
# LiPr4Ru2 | the Alexandria database | PBE | optimized geometry
data_LiPr4Ru2
_chemical_formula_sum 'Li2 Pr8 Ru4'
_cell_length_a 7.505
_cell_length_b 7.527
_cell_length_c 7.946
_cell_angle_alpha 73.06
_cell_angle_beta 73.07
_cell_angle_gamma 70.80
_symmetry_space_group_name_H-M 'P 1'
_symmetry_Int_Tables_number 1
_symmetry_space_group_name_Hall 'P 1'
loop_
_atom_site_label
_atom_site_type_symbol
_atom_site_fract_x
_atom_site_fract_y
_atom_site_fract_z
_atom_site_occupancy
Li1 Li 0.000 0.000 0.000 1
Li2 Li 0.003 0.014 0.518 1
Pr1 Pr 0.305 0.305 0.868 1
Pr2 Pr 0.314 0.316 0.338 1
Pr3 Pr 0.345 0.816 0.225 1
Pr4 Pr 0.348 0.784 0.732 1
Pr5 Pr 0.782 0.351 0.735 1
Pr6 Pr 0.786 0.784 0.348 1
Pr7 Pr 0.788 0.792 0.880 1
Pr8 Pr 0.813 0.348 0.222 1
Ru1 Ru 0.099 0.606 0.080 1
Ru2 Ru 0.515 0.515 0.501 1
Ru3 Ru 0.532 0.538 0.005 1
Ru4 Ru 0.605 0.101 0.081 1
# E_form ... -0.061 eV per atom
# Crystal system ... triclinic

---

D(E_F) for the records above, in order: 0.5439 2.2905 0.0880 0.6682 0.2094 0.6252 1.4301 0.7056 states/eV/atom
DFT total energy for the records above, in order: -3.77 -2.92 -5.78 -7.46 -2.74 -8.25 -4.48 -5.72 eV/atom
V for the records above, in order: 359.6 133.8 452.4 215.0 344.8 103.2 831.8 395.9 Å³ per cell